Material: CdFe2Se
Method: DFT, GGA-PBEsol
State: relaxed

abc: 3.979 3.979 4.770
angles: 114.65 114.65 90.00
Site moments in Bohr magnetons follow the coordinates.
Fractional coordinates of all 4 atoms:
Cd 0.000 0.000 0.000  -0.04
Fe 0.750 0.250 0.500  2.72
Fe 0.250 0.750 0.500  2.72
Se 0.500 0.500 0.000  0.08

Output
The space group is I4/mmm, No. 139. The value obtained for the raw total energy is -5.276 eV/atom. Its uncorrected formation energy is 467.3 meV per atom.



Material: Ca2Y2Si4CO16
Method: DFT, GGA-PBEsol
State: relaxed

abc: 6.710 12.986 14.360
angles: 90.00 90.00 90.00
Site moments in Bohr magnetons follow the coordinates.
Fractional coordinates of all 100 atoms:
Ca 0.801 0.929 0.048  -0.01
Ca 0.699 0.571 0.548  -0.01
Ca 0.199 0.429 0.952  -0.01
Ca 0.301 0.071 0.452  -0.01
Ca 0.199 0.071 0.952  -0.01
Ca 0.301 0.429 0.452  -0.01
Ca 0.801 0.571 0.048  -0.01
Ca 0.699 0.929 0.548  -0.01
Y 0.613 0.941 0.280  0.00
Y 0.887 0.559 0.780  0.00
Y 0.387 0.441 0.720  0.00
Y 0.113 0.059 0.220  0.00
Y 0.387 0.059 0.720  0.00
Y 0.113 0.441 0.220  0.00
Y 0.613 0.559 0.280  0.00
Y 0.887 0.941 0.780  0.00
Si 0.112 0.871 0.353  0.00
Si 0.388 0.629 0.853  0.00
Si 0.888 0.371 0.647  0.00
Si 0.612 0.129 0.147  0.00
Si 0.888 0.129 0.647  0.00
Si 0.612 0.371 0.147  0.00
Si 0.112 0.629 0.353  0.00
Si 0.388 0.871 0.853  0.00
Si 0.335 0.869 0.069  0.00
Si 0.165 0.631 0.569  0.00
Si 0.665 0.369 0.931  0.00
Si 0.835 0.131 0.431  0.00
Si 0.665 0.131 0.931  0.00
Si 0.835 0.369 0.431  0.00
Si 0.335 0.631 0.069  0.00
Si 0.165 0.869 0.569  0.00
C 0.612 0.750 0.378  -0.01
C 0.888 0.750 0.878  -0.01
C 0.388 0.250 0.622  -0.01
C 0.112 0.250 0.122  -0.01
O 0.061 0.892 0.465  0.00
O 0.439 0.608 0.965  0.00
O 0.939 0.392 0.535  0.00
O 0.561 0.108 0.035  0.00
O 0.939 0.108 0.535  0.00
O 0.561 0.392 0.035  0.00
O 0.061 0.608 0.465  0.00
O 0.439 0.892 0.965  0.00
O 0.297 0.947 0.328  0.00
O 0.203 0.553 0.828  0.00
O 0.703 0.447 0.672  0.00
O 0.797 0.053 0.172  0.00
O 0.703 0.053 0.672  0.00
O 0.797 0.447 0.172  0.00
O 0.297 0.553 0.328  0.00
O 0.203 0.947 0.828  0.00
O 0.937 0.909 0.285  0.02
O 0.563 0.591 0.785  0.02
O 0.063 0.409 0.715  0.02
O 0.437 0.091 0.215  0.02
O 0.063 0.091 0.715  0.02
O 0.437 0.409 0.215  0.02
O 0.937 0.591 0.285  0.02
O 0.563 0.909 0.785  0.02
O 0.170 0.750 0.342  0.00
O 0.330 0.750 0.842  0.00
O 0.830 0.250 0.658  0.00
O 0.670 0.250 0.158  0.00
O 0.152 0.950 0.083  0.01
O 0.348 0.550 0.583  0.01
O 0.848 0.450 0.917  0.01
O 0.652 0.050 0.417  0.01
O 0.848 0.050 0.917  0.01
O 0.652 0.450 0.417  0.01
O 0.152 0.550 0.083  0.01
O 0.348 0.950 0.583  0.01
O 0.523 0.888 0.138  0.09
O 0.977 0.612 0.638  0.09
O 0.477 0.388 0.862  0.09
O 0.023 0.112 0.362  0.09
O 0.477 0.112 0.862  0.09
O 0.023 0.388 0.362  0.09
O 0.523 0.612 0.138  0.09
O 0.977 0.888 0.638  0.09
O 0.254 0.750 0.072  0.03
O 0.246 0.750 0.572  0.03
O 0.746 0.250 0.928  0.03
O 0.754 0.250 0.428  0.03
O 0.618 0.837 0.420  0.07
O 0.882 0.663 0.920  0.07
O 0.382 0.337 0.580  0.07
O 0.118 0.163 0.080  0.07
O 0.382 0.163 0.580  0.07
O 0.118 0.337 0.080  0.07
O 0.618 0.663 0.420  0.07
O 0.882 0.837 0.920  0.07
O 0.600 0.750 0.288  0.03
O 0.900 0.750 0.788  0.03
O 0.400 0.250 0.712  0.03
O 0.100 0.250 0.212  0.03
O 0.833 0.750 0.085  1.25
O 0.667 0.750 0.585  1.25
O 0.167 0.250 0.915  1.25
O 0.333 0.250 0.415  1.25

Output
The space group is Pnma, No. 62. The value obtained for the raw total energy is -8.119 eV/atom. Its uncorrected formation energy is -2737.4 meV per atom.



Material: Ca2ZrCl
Method: DFT, GGA-PBEsol
State: relaxed

abc: 3.392 5.616 5.998
angles: 90.00 90.10 90.00
Site moments in Bohr magnetons follow the coordinates.
Fractional coordinates of all 4 atoms:
Ca 0.872 0.000 0.079  0.05
Ca 0.879 0.500 0.746  0.04
Zr 0.375 0.500 0.245  0.41
Cl 0.374 0.000 0.429  -0.01

Output
The space group is Pm, No. 6. The value obtained for the raw total energy is -4.024 eV/atom. Its uncorrected formation energy is -183.4 meV per atom.



Material: Mn12Os17
Method: DFT, GGA-PBEsol
State: relaxed

abc: 7.790 7.790 7.790
angles: 109.47 109.47 109.47
Fractional coordinates of all 29 atoms:
Mn 0.000 0.187 0.359
Mn 0.000 0.359 0.187
Mn 0.172 0.813 0.813
Mn 0.828 0.641 0.641
Mn 0.813 0.813 0.172
Mn 0.641 0.641 0.828
Mn 0.187 0.359 0.000
Mn 0.359 0.187 0.000
Mn 0.187 0.000 0.359
Mn 0.359 0.000 0.187
Mn 0.641 0.828 0.641
Mn 0.813 0.172 0.813
Os 0.000 0.680 0.391
Os 0.000 0.391 0.680
Os 0.710 0.320 0.320
Os 0.290 0.609 0.609
Os 0.320 0.320 0.710
Os 0.609 0.609 0.290
Os 0.680 0.391 0.000
Os 0.391 0.680 0.000
Os 0.680 0.000 0.391
Os 0.391 0.000 0.680
Os 0.609 0.290 0.609
Os 0.320 0.710 0.320
Os 0.000 0.000 0.652
Os 0.000 0.652 0.000
Os 0.652 0.000 0.000
Os 0.348 0.348 0.348
Os 0.000 0.000 0.000

Output
The space group is I-43m, No. 217. The value obtained for the raw total energy is -11.145 eV/atom. The calculation puts the formation enthalpy at 0 K at 0.06 eV per atom.



Material: Pr3Y
Method: DFT, GGA-PBEsol
State: relaxed

abc: 5.092 5.092 6.229
angles: 114.12 114.12 90.00
Fractional coordinates of all 4 atoms:
Pr 0.250 0.750 0.500
Pr 0.750 0.250 0.500
Pr 0.500 0.500 0.000
Y 0.000 0.000 0.000

Output
The space group is I4/mmm, No. 139. The value obtained for the raw total energy is -5.588 eV/atom. The calculation puts the formation enthalpy at 0 K at 0.01 eV per atom. Its excess energy over the best structure of this formula in the dataset is 0.003 eV/atom.



Material: BeAl2Ir
Method: DFT, GGA-PBEsol
State: relaxed

abc: 3.777 3.777 4.481
angles: 114.93 114.93 90.00
Fractional coordinates of all 4 atoms:
Be 0.500 0.500 0.000
Ir 0.000 0.000 0.000
Al 0.250 0.750 0.500
Al 0.750 0.250 0.500

Output
The space group is I4/mmm, No. 139. The value obtained for the raw total energy is -5.967 eV/atom. The calculation puts the formation enthalpy at 0 K at -0.47 eV per atom.